Hf2H2Rh at its PBEsol-relaxed geometry. Source: the Alexandria database, functional SCAN.

a b c (Å): 4.474 4.474 4.474
angles (deg): 93.98 117.73 117.73
Fractional coordinates of all 5 atoms:
H 0.000 0.718 0.718
H 0.000 0.282 0.282
Hf 0.500 0.750 0.250
Hf 0.500 0.250 0.750
Rh 0.000 0.000 0.000

Summary:
Total energy   -167.90 eV for the cell shown
Space-group type   I4/mmm, No. 139